(1)
Entry from Alexandria via LeMat-Bulk: a relaxed structure of Cs2HgPb4Au3 (PBE-GGA).

The structure belongs to space group P-4m2 (No. 115); the cell edges are 5.272, 5.272 and 11.706 Å and the angles 90.00°, 90.00° and 90.00°. Symmetry generates all atoms from Cs at (0.000, 0.500, 0.244), Hg at (0.500, 0.500, 0.000), Pb at (0.000, 0.000, 0.500), Pb at (0.000, 0.500, 0.875), Pb at (0.500, 0.500, 0.500), Au at (0.000, 0.000, 0.000) and Au at (0.000, 0.500, 0.622).

The calculation puts the formation energy at -0.15 eV/atom. For the total energy, the calculation gives -2.816 eV per atom.

(2)
Entry from Alexandria via LeMat-Bulk: a relaxed structure of CsHgPbAu2 (PBE-GGA).

The structure belongs to space group Imm2 (No. 44); the cell edges are 4.498, 5.090 and 13.208 Å and the angles 90.00°, 90.00° and 90.00°. Symmetry generates all atoms from Cs at (0.000, 0.000, 0.000), Hg at (0.000, 0.000, 0.613), Pb at (0.000, 0.500, 0.758), Au at (0.000, 0.000, 0.393) and Au at (0.000, 0.500, 0.267).

The calculation puts the formation energy at -0.13 eV/atom. The value obtained for the relative energy among the computed polymorphs is 0.0000 eV per atom. For the total energy, the calculation gives -2.413 eV per atom.